# Na3BePd

Crystalline Na3BePd at its relaxed geometry (GGA-PBE, Alexandria).

Values from the calculation:
energy of formation = 0.66 eV per atom
D(E_F) = 0.698 states/eV/atom
space-group type = Pm-3m (221)

Cell: 5.392 5.392 5.392 Å, 90.00 90.00 90.00°
Atoms (fractional coordinates):
Na  0.000  0.500  0.000
Na  0.000  0.000  0.500
Na  0.500  0.000  0.000
Be  0.500  0.500  0.500
Pd  0.000  0.000  0.000